(1)
This record from Alexandria via LeMat-Bulk describes an optimized crystal structure of Co2SbOs. The functional is GGA-PBE.

Cell: 3.061 4.394 8.508 Å, 90.00 90.00 90.00°
Space group Immm (No. 71)
Symmetry-distinct sites (fractional):
Co 0.000 0.000 0.240 [4 per cell]
Sb 0.000 0.500 0.500 [2 per cell]
Os 0.000 0.500 0.000 [2 per cell]

Values from the calculation:
Formation energy (no corrections) ... 0.47 eV per atom
Total magnetic moment ... 6.04 μB per cell
Excess energy over the best structure of this formula in the dataset ... 0.186 eV/atom

---

(2)
This record from Alexandria via LeMat-Bulk describes an optimized crystal structure of AgPOsCl2. The functional is GGA-PBE.

Cell: 5.001 5.001 4.467 Å, 90.00 90.00 90.00°
Space group P4/mmm (No. 123)
Symmetry-distinct sites (fractional):
Ag 0.000 0.000 0.000 [1 per cell]
P 0.500 0.500 0.000 [1 per cell]
Os 0.500 0.500 0.500 [1 per cell]
Cl 0.000 0.500 0.500 [2 per cell]

Values from the calculation:
Formation energy (no corrections) ... 0.44 eV per atom
Total magnetic moment ... 0.00 μB per cell
Excess energy over the best structure of this formula in the dataset ... 0.000 eV/atom

---

(3)
This record from Alexandria via LeMat-Bulk describes an optimized crystal structure of NaZnI2. The functional is GGA-PBE.

Cell: 7.917 7.917 7.917 Å, 90.00 90.00 90.00°
Space group Fm-3m (No. 225)
Symmetry-distinct sites (fractional):
Na 0.000 0.000 0.000 [4 per cell]
Zn 0.000 0.000 0.500 [4 per cell]
I 0.250 0.250 0.250 [8 per cell]

Values from the calculation:
Formation energy (no corrections) ... -0.39 eV per atom
Total magnetic moment ... 0.00 μB per cell
Excess energy over the best structure of this formula in the dataset ... 0.168 eV/atom

---

(4)
This record from Alexandria via LeMat-Bulk describes an optimized crystal structure of Na8TiTe6. The functional is GGA-PBE.

Cell: 8.785 9.212 12.733 Å, 90.00 90.00 90.00°
Space group Pmn2_1 (No. 31)
Symmetry-distinct sites (fractional):
Na 0.000 0.123 0.000 [2 per cell]
Na 0.000 0.250 0.446 [2 per cell]
Na 0.181 0.620 0.115 [4 per cell]
Na 0.199 0.565 0.813 [4 per cell]
Na 0.231 0.921 0.759 [4 per cell]
Ti 0.000 0.752 0.462 [2 per cell]
Te 0.000 0.307 0.211 [2 per cell]
Te 0.000 0.521 0.590 [2 per cell]
Te 0.000 0.778 0.940 [2 per cell]
Te 0.000 0.982 0.579 [2 per cell]
Te 0.242 0.761 0.341 [4 per cell]

Values from the calculation:
Formation energy (no corrections) ... -0.81 eV per atom
Total magnetic moment ... 0.00 μB per cell

---

(5)
This record from Alexandria via LeMat-Bulk describes an optimized crystal structure of LaTe2PtN. The functional is GGA-PBE.

Cell: 5.654 5.654 3.835 Å, 90.00 90.00 90.00°
Space group P4/mmm (No. 123)
Symmetry-distinct sites (fractional):
La 0.000 0.000 0.000 [1 per cell]
Te 0.000 0.500 0.500 [2 per cell]
Pt 0.500 0.500 0.500 [1 per cell]
N 0.500 0.500 0.000 [1 per cell]

Values from the calculation:
Formation energy (no corrections) ... -0.30 eV per atom
Total magnetic moment ... 0.00 μB per cell
Excess energy over the best structure of this formula in the dataset ... 0.000 eV/atom

---

(6)
This record from Alexandria via LeMat-Bulk describes an optimized crystal structure of PmSmPdRu. The functional is GGA-PBE.

Cell: 7.064 7.064 7.064 Å, 90.00 90.00 90.00°
Space group F-43m (No. 216)
Symmetry-distinct sites (fractional):
Pm 0.000 0.000 0.000 [4 per cell]
Sm 0.000 0.000 0.500 [4 per cell]
Pd 0.250 0.250 0.250 [4 per cell]
Ru 0.250 0.250 0.750 [4 per cell]

Values from the calculation:
Total magnetic moment ... 0.00 μB per cell
Formation energy from the elements ... -1.959 eV/f.u.
Excess energy over the best structure of this formula in the dataset ... 0.037 eV/atom